An optimized crystal structure of Mn2CuNiO4, computed with PBE+U.

It has space group Fmm2 (No. 42), with a = 6.771 Å, b = 7.017 Å, c = 8.556 Å, α = 90.00°, β = 90.00° and γ = 90.00°. The inequivalent atoms are Mn at (0.250, 0.250, 0.000), Cu at (0.000, 0.000, 0.247), Ni at (0.000, 0.000, 0.753), O at (0.000, 0.250, 0.361) and O at (0.244, 0.000, 0.626).

Its density of states at the Fermi level is 0.3891 states/eV per atom. For the total energy, the calculation gives -6.274 eV per atom.